Entry 1:
KSi3Pt3 after structural relaxation. Source: Alexandria via LeMat-Bulk, functional PBE.

a b c (Å): 6.719 6.719 6.719
angles (deg): 90.00 90.00 90.00
Sites, in units of the cell vectors:
K (0.000, 0.000, 0.000)
K (0.500, 0.500, 0.500)
Si (0.000, 0.250, 0.500)
Si (0.000, 0.750, 0.500)
Si (0.250, 0.500, 0.000)
Si (0.500, 0.000, 0.250)
Si (0.500, 0.000, 0.750)
Si (0.750, 0.500, 0.000)
Pt (0.000, 0.500, 0.250)
Pt (0.000, 0.500, 0.750)
Pt (0.250, 0.000, 0.500)
Pt (0.500, 0.250, 0.000)
Pt (0.500, 0.750, 0.000)
Pt (0.750, 0.000, 0.500)

Computed properties:
Density of states at the Fermi level   0.306 states/eV/atom
V   303 Å³/cell
Energy above the most stable polymorph in this dataset   0 meV/atom
Formation energy from raw total energies   -0.542 eV per atom
SG   No. 223

***

Entry 2:
CuOs2Pt after structural relaxation. Source: Alexandria via LeMat-Bulk, functional PBE.

a b c (Å): 2.709 4.684 4.615
angles (deg): 90.00 90.23 90.00
Sites, in units of the cell vectors:
Cu (0.000, 0.000, 0.000)
Os (0.281, 0.500, 0.763)
Os (0.719, 0.500, 0.237)
Pt (0.500, 0.000, 0.500)

Computed properties:
Formation energy from the elements   0.42 eV per atom
Density of states at the Fermi level   0.981 states/eV/atom
V   59 Å³/cell
Energy above the most stable polymorph in this dataset   331 meV/atom
SG   No. 10

***

Entry 3:
NaBeTlHg2 after structural relaxation. Source: Alexandria via LeMat-Bulk, functional PBE.

a b c (Å): 4.919 4.919 5.037
angles (deg): 90.00 90.00 90.00
Sites, in units of the cell vectors:
Na (0.000, 0.000, 0.000)
Be (0.500, 0.500, 0.500)
Tl (0.500, 0.500, 0.000)
Hg (0.000, 0.500, 0.500)
Hg (0.500, 0.000, 0.500)

Computed properties:
Formation energy from the elements   0.08 eV per atom
Density of states at the Fermi level   0.248 states/eV/atom
V   122 Å³/cell
SG   No. 123

***

Entry 4:
KIN2Cl after structural relaxation. Source: Alexandria via LeMat-Bulk, functional PBE.

a b c (Å): 4.548 4.548 8.360
angles (deg): 90.00 90.00 90.00
Sites, in units of the cell vectors:
K (0.000, 0.000, 0.000)
I (0.500, 0.500, 0.000)
N (0.000, 0.500, 0.500)
N (0.500, 0.000, 0.500)
Cl (0.500, 0.500, 0.500)

Computed properties:
Density of states at the Fermi level   0.485 states/eV/atom
V   173 Å³/cell
Energy above the most stable polymorph in this dataset   0 meV/atom
Formation energy from raw total energies   1.465 eV per atom
SG   No. 123

***

Entry 5:
CeTe2Pd9 after structural relaxation. Source: Alexandria via LeMat-Bulk, functional PBE.

a b c (Å): 4.121 4.121 12.336
angles (deg): 90.00 90.00 90.00
Sites, in units of the cell vectors:
Ce (0.000, 0.000, 0.000)
Te (0.000, 0.000, 0.342)
Te (0.000, 0.000, 0.658)
Pd (0.000, 0.500, 0.164)
Pd (0.000, 0.500, 0.500)
Pd (0.000, 0.500, 0.836)
Pd (0.500, 0.000, 0.164)
Pd (0.500, 0.000, 0.500)
Pd (0.500, 0.000, 0.836)
Pd (0.500, 0.500, 0.000)
Pd (0.500, 0.500, 0.330)
Pd (0.500, 0.500, 0.670)

Computed properties:
Density of states at the Fermi level   0.635 states/eV/atom
V   209 Å³/cell
Formation energy from raw total energies   -0.398 eV per atom
SG   No. 123

***

Entry 6:
Ce2PrNi after structural relaxation. Source: Alexandria via LeMat-Bulk, functional PBE.

a b c (Å): 9.521 9.521 9.521
angles (deg): 22.63 22.63 22.63
Sites, in units of the cell vectors:
Ce (0.000, 0.000, 0.000)
Ce (0.210, 0.210, 0.210)
Pr (0.774, 0.774, 0.774)
Ni (0.605, 0.605, 0.605)

Computed properties:
Formation energy from the elements   -0.02 eV per atom
Density of states at the Fermi level   2.210 states/eV/atom
V   112 Å³/cell
Energy above the most stable polymorph in this dataset   58 meV/atom
SG   No. 160

***

Q: Among the records above, which one has the highest density of states at the Fermi level?
A: Ce2PrNi

***

Q: Which of these has the highest density of states at the Fermi level?
A: Ce2PrNi

***

Q: Which of these has the lowest density of states at the Fermi level?
A: NaBeTlHg2

***

Q: Which formula does entry 5 have?
A: CeTe2Pd9